# CdTcP2C GGA-PBE relaxed
data_CdTcP2C
_symmetry_space_group_name_H-M 'P 1'
_symmetry_Int_Tables_number 1
_cell_length_a 4.473
_cell_length_b 5.423
_cell_length_c 4.473
_cell_angle_alpha 90.00
_cell_angle_beta 90.00
_cell_angle_gamma 90.00
loop_
_symmetry_equiv_pos_as_xyz
'x,y,z'
loop_
_atom_site_label
_atom_site_fract_x
_atom_site_fract_y
_atom_site_fract_z
P1 0.000 0.000 0.500
P2 0.500 0.000 0.000
C1 0.500 0.500 0.500
Tc1 0.000 0.000 0.000
Cd1 0.000 0.500 0.000
# Energy of formation ... 1505 meV per atom
# Final energy ... -23.8 eV/f.u.
# SG ... No. 123
# Total magnetic moment ... 2.0 μB/f.u.
# Offset from the most stable computed form ... 0.0 meV per atom